--- A ---
# Mg3Zn2, optimized geometry, DFT GGA-PBEsol
# **N(E_F)**: 1.10 states/eV/f.u.
data_Mg3Zn2
_space_group_name_H-M_alt 'P -3 m 1'
_space_group_IT_number 164
_space_group_name_Hall '-P 3 2"'
_cell_length_a 4.5458
_cell_length_b 4.5458
_cell_length_c 5.4583
_cell_angle_alpha 90.00
_cell_angle_beta 90.00
_cell_angle_gamma 120.00
loop_
_atom_site_label
_atom_site_type_symbol
_atom_site_fract_x
_atom_site_fract_y
_atom_site_fract_z
Mg1 Mg 0.0000 0.0000 0.0000
Mg2 Mg 0.3333 0.6667 0.3547
Zn1 Zn 0.3333 0.6667 0.8586

--- B ---
# Mg3Zn2, optimized geometry, DFT GGA-PBEsol
# **N(E_F)**: 1.71 states/eV/f.u.
data_Mg3Zn2
_space_group_name_H-M_alt 'F d d 2'
_space_group_IT_number 43
_space_group_name_Hall 'F 2 -2d'
_cell_length_a 10.045
_cell_length_b 14.001
_cell_length_c 5.334
_cell_angle_alpha 90.00
_cell_angle_beta 90.00
_cell_angle_gamma 90.00
loop_
_atom_site_label
_atom_site_type_symbol
_atom_site_fract_x
_atom_site_fract_y
_atom_site_fract_z
Mg1 Mg 0.000 0.000 0.000
Mg2 Mg 0.048 0.397 0.002
Zn1 Zn 0.026 0.297 0.539

--- C ---
# Mg3Zn2, optimized geometry, DFT GGA-PBEsol
# **N(E_F)**: 2.02 states/eV/f.u.
data_Mg3Zn2
_space_group_name_H-M_alt 'R -3 m'
_space_group_IT_number 166
_space_group_name_Hall '-R 3 2"'
_cell_length_a 3.0971
_cell_length_b 3.0971
_cell_length_c 34.3144
_cell_angle_alpha 90.00
_cell_angle_beta 90.00
_cell_angle_gamma 120.00
loop_
_atom_site_label
_atom_site_type_symbol
_atom_site_fract_x
_atom_site_fract_y
_atom_site_fract_z
Mg1 Mg 0.0000 0.0000 0.0000
Mg2 Mg 0.0000 0.0000 0.2046
Zn1 Zn 0.0000 0.0000 0.3978

It is A that is most stable; the runner-up trails by 41 meV per atom.

--- A ---
# Mg3Zr4, optimized geometry, DFT GGA-PBEsol
# **N(E_F)**: 5.14 states/eV/f.u.
data_Mg3Zr4
_space_group_name_H-M_alt 'I 4/m m m'
_space_group_IT_number 139
_space_group_name_Hall '-I 4 2'
_cell_length_a 3.038
_cell_length_b 3.038
_cell_length_c 33.856
_cell_angle_alpha 90.00
_cell_angle_beta 90.00
_cell_angle_gamma 90.00
loop_
_atom_site_label
_atom_site_type_symbol
_atom_site_fract_x
_atom_site_fract_y
_atom_site_fract_z
Mg1 Mg 0.000 0.000 0.000
Mg2 Mg 0.000 0.000 0.286
Zr1 Zr 0.000 0.000 0.141
Zr2 Zr 0.000 0.000 0.426

--- B ---
# Mg3Zr4, optimized geometry, DFT GGA-PBEsol
# **N(E_F)**: 9.25 states/eV/f.u.
data_Mg3Zr4
_space_group_name_H-M_alt 'P 6/m m m'
_space_group_IT_number 191
_space_group_name_Hall '-P 6 2'
_cell_length_a 5.5550
_cell_length_b 5.5550
_cell_length_c 5.6602
_cell_angle_alpha 90.00
_cell_angle_beta 90.00
_cell_angle_gamma 120.00
loop_
_atom_site_label
_atom_site_type_symbol
_atom_site_fract_x
_atom_site_fract_y
_atom_site_fract_z
Mg1 Mg 0.0000 0.5000 0.0000
Zr1 Zr 0.0000 0.0000 0.2728
Zr2 Zr 0.3333 0.6667 0.5000

It is A that is most stable; the runner-up trails by 139 meV per atom.